Entry from Alexandria via LeMat-Bulk: an optimized crystal structure of Na2PaMnO5 (PBE+U).

a = 4.281 Å, b = 4.281 Å, c = 8.099 Å
α = 90.00°, β = 90.00°, γ = 90.00°
Fractional coordinates of all 9 atoms:
Na  0.500  0.500  0.272
Na  0.500  0.500  0.728
Pa  0.000  0.000  0.500
Mn  0.000  0.000  0.000
O  0.000  0.500  0.500
O  0.500  0.000  0.500
O  0.000  0.000  0.767
O  0.000  0.000  0.233
O  0.500  0.500  0.000

**Crystal system**: tetragonal
**Final energy**: -63.22 eV/cell
**Spin magnetization**: 4.00 Bohr magnetons per cell
**Space group**: P4/mmm, No. 123